# RbMn2Se2

A relaxed structure of RbMn2Se2 (PBE, Alexandria).

Values from the calculation:
For the formation energy (no corrections), the calculation gives -0.49 eV/atom. The calculation puts the total magnetization at 3.91 μB per formula unit. As for the crystal system: tetragonal. As for the calculated total energy: -28.71 eV/cell. The calculated volume is 21.32 A^3/atom.

a = 8.0462 Å, b = 8.0462 Å, c = 8.0462 Å
α = 153.08°, β = 153.08°, γ = 38.44°
Last column: nearest neighbours and their distance in Å.
Element x y z (fractional)
Rb 0.0000 0.0000 0.0000  8 Se 3.47, 4 Rb 3.75
Mn 0.2500 0.7500 0.5000  4 Se 2.43, 4 Mn 2.65
Mn 0.7500 0.2500 0.5000  4 Se 2.43, 4 Mn 2.65
Se 0.3521 0.3521 0.0000  4 Mn 2.43
Se 0.6479 0.6479 0.0000  4 Mn 2.43



# RbMnSe3

A relaxed structure of RbMnSe3 (PBE, Alexandria).

Values from the calculation:
For the formation energy (no corrections), the calculation gives -0.57 eV/atom. The calculation puts the total magnetization at 2.25 μB per formula unit. As for the excess energy over the best structure of this formula in the dataset: 0.0000 eV per atom. As for the crystal system: trigonal. As for the calculated total energy: -46.91 eV/cell. The calculated volume is 29.07 A^3/atom.

a = 8.4428 Å, b = 8.4428 Å, c = 8.4428 Å
α = 46.66°, β = 46.66°, γ = 46.66°
Last column: nearest neighbours and their distance in Å.
Element x y z (fractional)
Rb 0.1180 0.1180 0.1180  9 Se 3.52-3.82
Rb 0.8820 0.8820 0.8820  9 Se 3.52-3.82
Mn 0.3342 0.3342 0.3342  6 Se 2.47
Mn 0.6658 0.6658 0.6658  6 Se 2.47
Se 0.0666 0.5694 0.5694  2 Mn 2.47
Se 0.4306 0.4306 0.9334  2 Mn 2.47
Se 0.4306 0.9334 0.4306  2 Mn 2.47
Se 0.5694 0.0666 0.5694  2 Mn 2.47
Se 0.5694 0.5694 0.0666  2 Mn 2.47
Se 0.9334 0.4306 0.4306  2 Mn 2.47



# Rb2Mn2Se3

A relaxed structure of Rb2Mn2Se3 (PBE, Alexandria).

Values from the calculation:
For the formation energy (no corrections), the calculation gives -0.76 eV/atom. The calculation puts the total magnetization at 10.00 μB per formula unit. As for the excess energy over the best structure of this formula in the dataset: 0.0085 eV per atom. As for the crystal system: monoclinic. As for the calculated total energy: -144.33 eV/cell. The calculated volume is 31.04 A^3/atom.

a = 11.4467 Å, b = 11.4467 Å, c = 7.3130 Å
α = 107.72°, β = 107.72°, γ = 83.39°
Last column: nearest neighbours and their distance in Å.
Element x y z (fractional)
Rb 0.0655 0.9345 0.7500  6 Se 3.39-3.67
Rb 0.2108 0.7892 0.2500  6 Se 3.44-3.65
Rb 0.3077 0.4887 0.4365  4 Se 3.28-3.64
Rb 0.4887 0.3077 0.9365  4 Se 3.28-3.64
Rb 0.5113 0.6923 0.0635  4 Se 3.28-3.64
Rb 0.6923 0.5113 0.5635  4 Se 3.28-3.64
Rb 0.7892 0.2108 0.7500  6 Se 3.44-3.65
Rb 0.9345 0.0655 0.2500  6 Se 3.39-3.67
Mn 0.0350 0.5762 0.7410  4 Se 2.55-2.63
Mn 0.1502 0.2998 0.7999  4 Se 2.56-2.67
Mn 0.2998 0.1502 0.2999  4 Se 2.56-2.67
Mn 0.4238 0.9650 0.7590  4 Se 2.55-2.63
Mn 0.5762 0.0350 0.2410  4 Se 2.55-2.63
Mn 0.7002 0.8498 0.7001  4 Se 2.56-2.67
Mn 0.8498 0.7002 0.2001  4 Se 2.56-2.67
Mn 0.9650 0.4238 0.2590  4 Se 2.55-2.63
Se 0.0487 0.6443 0.4400  3 Mn 2.57-2.61
Se 0.1001 0.2475 0.0904  3 Mn 2.61-2.67
Se 0.2475 0.1001 0.5904  3 Mn 2.61-2.67
Se 0.2485 0.5093 0.9183  2 Mn 2.55-2.56
Se 0.3557 0.9513 0.0600  3 Mn 2.57-2.61
Se 0.4907 0.7515 0.5817  2 Mn 2.55-2.56
Se 0.5093 0.2485 0.4183  2 Mn 2.55-2.56
Se 0.6443 0.0487 0.9400  3 Mn 2.57-2.61
Se 0.7515 0.4907 0.0817  2 Mn 2.55-2.56
Se 0.7525 0.8999 0.4096  3 Mn 2.61-2.67
Se 0.8999 0.7525 0.9096  3 Mn 2.61-2.67
Se 0.9513 0.3557 0.5600  3 Mn 2.57-2.61



# RbMnSiSe4

A relaxed structure of RbMnSiSe4 (PBE, Alexandria).

Values from the calculation:
For the formation energy (no corrections), the calculation gives -0.60 eV/atom. The calculation puts the total magnetization at 4.00 μB per formula unit. As for the crystal system: monoclinic. As for the calculated total energy: -67.46 eV/cell. The calculated volume is 28.51 A^3/atom.

a = 6.4580 Å, b = 7.0534 Å, c = 8.7894 Å
α = 90.00°, β = 94.49°, γ = 90.00°
Last column: nearest neighbours and their distance in Å.
Element x y z (fractional)
Rb 0.2282 0.2500 0.0629  4 Se 3.35-3.72
Rb 0.7718 0.7500 0.9371  4 Se 3.35-3.72
Mn 0.1759 0.7500 0.4520  6 Se 2.51-2.78
Mn 0.8241 0.2500 0.5480  6 Se 2.51-2.78
Si 0.3412 0.2500 0.6474  4 Se 2.25-2.32
Si 0.6588 0.7500 0.3526  4 Se 2.25-2.32
Se 0.1059 0.0089 0.6811  1 Si 2.32
Se 0.1059 0.4911 0.6811  1 Si 2.32
Se 0.3598 0.7500 0.1965  1 Si 2.28
Se 0.4658 0.2500 0.4155  1 Si 2.25, 1 Mn 2.51
Se 0.5342 0.7500 0.5845  1 Si 2.25, 1 Mn 2.51
Se 0.6402 0.2500 0.8035  1 Si 2.28
Se 0.8941 0.5089 0.3189  1 Si 2.32
Se 0.8941 0.9911 0.3189  1 Si 2.32



# Rb2MnSiSe4

A relaxed structure of Rb2MnSiSe4 (PBE, Alexandria).

Values from the calculation:
For the formation energy (no corrections), the calculation gives -0.85 eV/atom. The calculation puts the total magnetization at 5.00 μB per formula unit. As for the crystal system: orthorhombic. As for the calculated total energy: -74.47 eV/cell. The calculated volume is 33.61 A^3/atom.

a = 14.4109 Å, b = 12.9275 Å, c = 7.6783 Å
α = 84.68°, β = 63.28°, γ = 32.04°
Last column: nearest neighbours and their distance in Å.
Element x y z (fractional)
Rb 0.0559 0.0559 0.6941  8 Se 3.62-3.90
Rb 0.3059 0.3059 0.9441  8 Se 3.62-3.90
Rb 0.6941 0.6941 0.0559  8 Se 3.62-3.90
Rb 0.9441 0.9441 0.3059  8 Se 3.62-3.90
Mn 0.1250 0.1250 0.1250  4 Se 2.53
Mn 0.8750 0.8750 0.8750  4 Se 2.53
Si 0.3750 0.3750 0.3750  4 Se 2.31
Si 0.6250 0.6250 0.6250  4 Se 2.31
Se 0.0064 0.6395 0.5529  1 Si 2.31, 1 Mn 2.53
Se 0.3012 0.5529 0.6395  1 Si 2.31, 1 Mn 2.53
Se 0.3605 0.9936 0.6988  1 Si 2.31, 1 Mn 2.53
Se 0.4471 0.6988 0.9936  1 Si 2.31, 1 Mn 2.53
Se 0.5529 0.3012 0.0064  1 Si 2.31, 1 Mn 2.53
Se 0.6395 0.0064 0.3012  1 Si 2.31, 1 Mn 2.53
Se 0.6988 0.4471 0.3605  1 Si 2.31, 1 Mn 2.53
Se 0.9936 0.3605 0.4471  1 Si 2.31, 1 Mn 2.53



# Rb2SmMnSe4

A relaxed structure of Rb2SmMnSe4 (PBE, Alexandria).

Values from the calculation:
For the formation energy (no corrections), the calculation gives -1.09 eV/atom. The calculation puts the total magnetization at 4.00 μB per formula unit. As for the crystal system: orthorhombic. As for the calculated total energy: -76.97 eV/cell. The calculated volume is 29.95 A^3/atom.

a = 8.8572 Å, b = 8.8572 Å, c = 8.8572 Å
α = 122.64°, β = 120.42°, γ = 87.38°
Last column: nearest neighbours and their distance in Å.
Element x y z (fractional)
Rb 0.0000 0.0000 0.0000  6 Se 3.23-3.41
Rb 0.5000 0.0000 0.0000  6 Se 3.36-3.51
Rb 0.5000 0.0000 0.5000  6 Se 3.23-3.41
Rb 0.5000 0.5000 0.5000  6 Se 3.36-3.51
Sm 0.0000 0.5000 0.5000  6 Se 2.90-3.10
Sm 0.5000 0.5000 0.0000  6 Se 2.90-3.10
Mn 0.0000 0.0000 0.5000  4 Se 2.67
Mn 0.0000 0.5000 0.0000  4 Se 2.67
Se 0.1704 0.7378 0.4327  2 Mn 2.67
Se 0.1949 0.2622 0.9327  2 Mn 2.67
Se 0.2384 0.2668 0.5283  2 Sm 2.90, 1 Mn 3.06, 2 Rb 3.23
Se 0.2384 0.7101 0.9717  2 Sm 2.90, 1 Mn 3.06, 2 Rb 3.23
Se 0.7616 0.2899 0.0283  2 Sm 2.90, 1 Mn 3.06, 2 Rb 3.23
Se 0.7616 0.7332 0.4717  2 Sm 2.90, 1 Mn 3.06, 2 Rb 3.23
Se 0.8051 0.7378 0.0673  2 Mn 2.67
Se 0.8296 0.2622 0.5673  2 Mn 2.67